1.
## Be3ZnSb (PBE)

Data for Be3ZnSb after structural relaxation.

a = 4.705 Å, b = 4.705 Å, c = 4.705 Å
α = 90.00°, β = 90.00°, γ = 90.00°
Positions (direct):
Be 0.000 0.000 0.500
Be 0.000 0.500 0.000
Be 0.500 0.000 0.000
Zn 0.500 0.500 0.500
Sb 0.000 0.000 0.000

Values from the calculation:
Crystal system: cubic
Space group: Pm-3m (221)
Energy relative to the elements, uncorrected: 1.277 eV per atom
Excess energy over the best structure of this formula in the dataset: 476 meV per atom
M_tot: 0.000 μB per atom

=====

2.
## LiHoTlRu (PBE)

Data for LiHoTlRu after structural relaxation.

a = 4.774 Å, b = 4.774 Å, c = 4.774 Å
α = 60.00°, β = 60.00°, γ = 60.00°
Positions (direct):
Li 0.000 0.000 0.000
Ho 0.750 0.750 0.750
Tl 0.250 0.250 0.250
Ru 0.500 0.500 0.500

Values from the calculation:
Crystal system: cubic
Space group: F-43m (216)
Formation energy: -0.1343 eV per atom
M_tot: 0.000 μB per atom

=====

3.
## Li5Cu4Pd4 (PBE)

Data for Li5Cu4Pd4 after structural relaxation.

a = 8.205 Å, b = 8.205 Å, c = 8.205 Å
α = 91.68°, β = 91.68°, γ = 160.31°
Positions (direct):
Li 0.000 0.000 0.000
Li 0.276 0.644 0.919
Li 0.356 0.276 0.632
Li 0.644 0.724 0.368
Li 0.724 0.356 0.081
Cu 0.091 0.410 0.501
Cu 0.410 0.909 0.319
Cu 0.590 0.091 0.681
Cu 0.909 0.590 0.499
Pd 0.050 0.778 0.828
Pd 0.222 0.050 0.272
Pd 0.778 0.950 0.728
Pd 0.950 0.222 0.172

Values from the calculation:
Crystal system: tetragonal
Space group: I4/m (87)
Formation energy: -0.2131 eV per atom
M_tot: 0.000 μB per atom

=====

4.
## CaCoPbI2 (PBE)

Data for CaCoPbI2 after structural relaxation.

a = 6.200 Å, b = 6.200 Å, c = 6.288 Å
α = 90.00°, β = 90.00°, γ = 90.00°
Positions (direct):
Ca 0.000 0.000 0.000
Co 0.500 0.500 0.000
Pb 0.000 0.000 0.500
I 0.000 0.500 0.500
I 0.500 0.000 0.500

Values from the calculation:
Crystal system: tetragonal
Space group: P4/mmm (123)
Energy relative to the elements, uncorrected: 0.619 eV per atom
M_tot: 0.539 μB per atom

=====

5.
## BaTm2CuSe4 (PBE)

Data for BaTm2CuSe4 after structural relaxation.

a = 7.207 Å, b = 7.207 Å, c = 14.126 Å
α = 90.00°, β = 90.00°, γ = 146.49°
Positions (direct):
Ba 0.119 0.881 0.750
Ba 0.881 0.119 0.250
Tm 0.373 0.627 0.559
Tm 0.373 0.627 0.941
Tm 0.627 0.373 0.059
Tm 0.627 0.373 0.441
Cu 0.153 0.847 0.250
Cu 0.847 0.153 0.750
Se 0.000 0.000 0.000
Se 0.000 0.000 0.500
Se 0.264 0.736 0.112
Se 0.264 0.736 0.388
Se 0.439 0.561 0.750
Se 0.561 0.439 0.250
Se 0.736 0.264 0.612
Se 0.736 0.264 0.888

Values from the calculation:
Crystal system: orthorhombic
Space group: Cmcm (63)
Energy relative to the elements, uncorrected: -1.560 eV per atom
M_tot: 0.000 μB per atom

=====

6.
## NdHoHfN3 (PBE)

Data for NdHoHfN3 after structural relaxation.

a = 6.451 Å, b = 3.298 Å, c = 9.568 Å
α = 90.00°, β = 93.78°, γ = 90.00°
Positions (direct):
Nd 0.160 0.250 0.214
Nd 0.840 0.750 0.786
Ho 0.205 0.250 0.574
Ho 0.795 0.750 0.426
Hf 0.350 0.750 0.893
Hf 0.650 0.250 0.107
N 0.146 0.250 0.836
N 0.153 0.750 0.419
N 0.401 0.750 0.109
N 0.599 0.250 0.891
N 0.847 0.250 0.581
N 0.854 0.750 0.164

Values from the calculation:
Crystal system: monoclinic
Space group: P2_1/m (11)
Energy relative to the elements, uncorrected: -1.384 eV per atom
M_tot: 0.079 μB per atom